# 1
{
  "formula": "BaCdIn2Hg",
  "functional": "PBE-GGA",
  "state": "optimized geometry",
  "lattice": [[-2.421, 2.421, 6.349], [2.421, -2.421, 6.349], [2.421, 2.421, -6.349]],
  "species": ["In", "In", "Cd", "Ba", "Hg"],
  "fractional_positions": [[0.750, 0.250, 0.500], [0.250, 0.750, 0.500], [0.388, 0.388, 0.000], [0.001, 0.001, 0.000], [0.610, 0.610, 0.000]],
  "sg": "I4mm",
  "e_tot_ev_per_atom": -2.084,
  "crystal_system": "tetragonal"
}


# 2
{
  "formula": "NbZnCo",
  "functional": "PBE-GGA",
  "state": "optimized geometry",
  "lattice": [[0.000, 2.957, 2.957], [2.957, 0.000, 2.957], [2.957, 2.957, 0.000]],
  "species": ["Nb", "Zn", "Co"],
  "fractional_positions": [[0.250, 0.250, 0.250], [0.500, 0.500, 0.500], [0.000, 0.000, 0.000]],
  "total_magnetization_mub_per_atom": 0.144,
  "delta_e_f_ev_per_atom": 0.67,
  "sg": "F-43m",
  "crystal_system": "cubic"
}


# 3
{
  "formula": "MgZrCoSn",
  "functional": "PBE-GGA",
  "state": "optimized geometry",
  "lattice": [[-0.754, -3.577, 2.846], [1.863, -0.018, 4.242], [-2.708, 0.531, 3.722]],
  "species": ["Mg", "Co", "Sn", "Zr"],
  "fractional_positions": [[0.250, 0.250, 0.250], [0.750, 0.750, 0.750], [0.000, 0.000, 0.000], [0.500, 0.500, 0.500]],
  "total_magnetization_mub_per_atom": 0.015,
  "sg": "F-43m",
  "e_tot_ev_per_atom": -5.405,
  "crystal_system": "cubic"
}


# 4
{
  "formula": "Li2Hg2S3",
  "functional": "PBE-GGA",
  "state": "optimized geometry",
  "lattice": [[3.629, 2.300, 4.685], [4.010, 4.931, 0.096], [-0.293, 5.519, 3.140]],
  "species": ["S", "S", "S", "Hg", "Hg", "Li", "Li"],
  "fractional_positions": [[0.000, 0.500, 0.000], [0.500, 0.000, 0.000], [0.000, 0.000, 0.500], [0.670, 0.670, 0.670], [0.330, 0.330, 0.330], [0.000, 0.000, 0.000], [0.500, 0.500, 0.500]],
  "sg": "R-3m",
  "e_tot_ev_per_atom": -2.568,
  "crystal_system": "trigonal"
}


# 5
{
  "formula": "TaNbSn2O4",
  "functional": "PBE-GGA",
  "state": "optimized geometry",
  "lattice": [[3.026, 0.000, 0.000], [-1.513, 2.620, 0.000], [0.000, 0.000, 14.467]],
  "species": ["O", "O", "O", "O", "Nb", "Ta", "Sn", "Sn"],
  "fractional_positions": [[0.667, 0.333, 0.088], [0.667, 0.333, 0.912], [0.667, 0.333, 0.586], [0.667, 0.333, 0.414], [0.000, 0.000, 0.000], [0.333, 0.667, 0.500], [0.667, 0.333, 0.752], [0.667, 0.333, 0.248]],
  "total_magnetization_mub_per_atom": 0.001,
  "sg": "P-6m2",
  "e_tot_ev_per_atom": -7.962,
  "crystal_system": "hexagonal"
}


# 6
{
  "formula": "CdO",
  "functional": "PBE-GGA",
  "state": "optimized geometry",
  "lattice": [[-1.882, 1.877, 1.802], [-0.787, -3.076, -0.478], [1.548, -0.772, 2.421]],
  "species": ["O", "Cd"],
  "fractional_positions": [[0.333, 0.667, 0.250], [0.667, 0.333, 0.750]],
  "sg": "P-6m2",
  "e_tot_ev_per_atom": -3.798,
  "crystal_system": "hexagonal"
}


# 7
{
  "formula": "Lu2Sc4P3C3",
  "functional": "PBE-GGA",
  "state": "optimized geometry",
  "lattice": [[5.146, -2.950, 0.000], [5.146, 2.950, 0.000], [-3.427, 0.000, 13.106]],
  "species": ["P", "P", "P", "P", "P", "P", "Sc", "Sc", "Sc", "Sc", "Sc", "Sc", "Sc", "Sc", "Lu", "Lu", "Lu", "Lu", "C", "C", "C", "C", "C", "C"],
  "fractional_positions": [[0.426, 0.228, 0.750], [0.855, 0.145, 0.750], [0.145, 0.855, 0.250], [0.574, 0.772, 0.250], [0.228, 0.426, 0.250], [0.772, 0.574, 0.750], [0.693, 0.860, 0.592], [0.140, 0.307, 0.908], [0.967, 0.800, 0.409], [0.800, 0.967, 0.909], [0.033, 0.200, 0.591], [0.307, 0.140, 0.408], [0.860, 0.693, 0.092], [0.200, 0.033, 0.091], [0.524, 0.379, 0.102], [0.621, 0.476, 0.398], [0.476, 0.621, 0.898], [0.379, 0.524, 0.602], [0.161, 0.668, 0.996], [0.668, 0.161, 0.496], [0.500, 0.000, 0.000], [0.332, 0.839, 0.504], [0.839, 0.332, 0.004], [0.000, 0.500, 0.500]],
  "total_magnetization_mub_per_atom": 0.001,
  "sg": "C2/c",
  "e_tot_ev_per_atom": -7.343,
  "crystal_system": "monoclinic"
}


# 8
{
  "formula": "SmHO2",
  "functional": "PBE-GGA",
  "state": "optimized geometry",
  "lattice": [[4.380, 0.000, 0.000], [0.000, 3.709, 0.000], [-1.973, 0.000, 5.767]],
  "species": ["H", "H", "O", "O", "O", "O", "Sm", "Sm"],
  "fractional_positions": [[0.515, 0.750, 0.921], [0.485, 0.250, 0.079], [0.734, 0.750, 0.450], [0.744, 0.750, 0.938], [0.256, 0.250, 0.062], [0.266, 0.250, 0.550], [0.166, 0.750, 0.309], [0.834, 0.250, 0.691]],
  "total_magnetization_mub_per_atom": 0.000,
  "sg": "P2_1/m",
  "e_tot_ev_per_atom": -7.082,
  "crystal_system": "monoclinic"
}


# 9
{
  "formula": "Sc2Ga3GePd2",
  "functional": "PBE-GGA",
  "state": "optimized geometry",
  "lattice": [[4.969, -2.143, 0.000], [4.969, 2.143, 0.000], [-0.043, 0.000, 6.461]],
  "species": ["Sc", "Sc", "Ga", "Ga", "Ga", "Pd", "Pd", "Ge"],
  "fractional_positions": [[0.918, 0.918, 0.250], [0.083, 0.083, 0.752], [0.627, 0.627, 0.454], [0.375, 0.375, 0.951], [0.372, 0.372, 0.547], [0.799, 0.799, 0.754], [0.202, 0.202, 0.246], [0.625, 0.625, 0.046]],
  "total_magnetization_mub_per_atom": 0.000,
  "sg": "Cm",
  "e_tot_ev_per_atom": -5.331,
  "crystal_system": "monoclinic"
}


# 10
{
  "formula": "KNdAsO",
  "functional": "PBE-GGA",
  "state": "optimized geometry",
  "lattice": [[-4.310, 3.250, 2.738], [-3.129, 0.212, -5.177], [-2.494, -4.425, 1.326]],
  "species": ["Nd", "Nd", "As", "As", "K", "K", "O", "O"],
  "fractional_positions": [[0.500, 0.500, 0.500], [0.000, 0.000, 0.500], [0.000, 0.500, 0.495], [0.500, 0.000, 0.505], [0.500, 0.000, 0.004], [0.000, 0.500, 0.996], [0.000, 0.000, 0.000], [0.500, 0.500, 0.000]],
  "total_magnetization_mub_per_atom": 0.001,
  "sg": "P4/nmm",
  "e_tot_ev_per_atom": -4.866,
  "crystal_system": "tetragonal"
}


# 11
{
  "formula": "RbCo",
  "functional": "PBE-GGA",
  "state": "optimized geometry",
  "lattice": [[2.362, -4.265, 1.278], [2.086, -0.455, 4.565], [-2.051, -3.092, 3.411]],
  "species": ["Rb", "Co"],
  "fractional_positions": [[0.500, 0.500, 0.500], [0.000, 0.000, 0.000]],
  "total_magnetization_mub_per_atom": 0.976,
  "sg": "Fm-3m",
  "e_tot_ev_per_atom": -2.479,
  "crystal_system": "cubic"
}


# 12
{
  "formula": "LiGdFeSe3",
  "functional": "PBE-GGA",
  "state": "optimized geometry",
  "lattice": [[6.407, -1.995, 0.000], [6.407, 1.995, 0.000], [0.000, 0.000, 10.874]],
  "species": ["Gd", "Gd", "Li", "Li", "Se", "Se", "Se", "Se", "Se", "Se", "Fe", "Fe"],
  "fractional_positions": [[0.000, 0.000, 0.500], [0.000, 0.000, 0.000], [0.774, 0.774, 0.250], [0.226, 0.226, 0.750], [0.908, 0.908, 0.750], [0.355, 0.355, 0.418], [0.645, 0.645, 0.582], [0.355, 0.355, 0.082], [0.092, 0.092, 0.250], [0.645, 0.645, 0.918], [0.477, 0.477, 0.250], [0.523, 0.523, 0.750]],
  "total_magnetization_mub_per_atom": 0.667,
  "sg": "Cmcm",
  "e_tot_ev_per_atom": -5.300,
  "crystal_system": "orthorhombic"
}


# 13
{
  "formula": "LuSiO3",
  "functional": "PBE-GGA",
  "state": "optimized geometry",
  "lattice": [[5.103, 0.000, 0.000], [0.000, 5.591, 0.000], [0.000, 0.000, 7.460]],
  "species": ["O", "O", "O", "O", "O", "O", "O", "O", "O", "O", "O", "O", "Si", "Si", "Si", "Si", "Lu", "Lu", "Lu", "Lu"],
  "fractional_positions": [[0.118, 0.457, 0.250], [0.307, 0.688, 0.942], [0.193, 0.188, 0.558], [0.307, 0.688, 0.558], [0.193, 0.188, 0.942], [0.882, 0.543, 0.750], [0.807, 0.812, 0.442], [0.807, 0.812, 0.058], [0.693, 0.312, 0.058], [0.693, 0.312, 0.442], [0.382, 0.957, 0.250], [0.618, 0.043, 0.750], [0.000, 0.500, 0.500], [0.000, 0.500, 0.000], [0.500, 0.000, 0.000], [0.500, 0.000, 0.500], [0.476, 0.421, 0.750], [0.976, 0.079, 0.250], [0.524, 0.579, 0.250], [0.024, 0.921, 0.750]],
  "total_magnetization_mub_per_atom": 0.000,
  "sg": "Pnma",
  "e_tot_ev_per_atom": -7.449,
  "crystal_system": "orthorhombic"
}


# 14
{
  "formula": "NdGa3C",
  "functional": "PBE-GGA",
  "state": "optimized geometry",
  "lattice": [[4.514, 0.000, 0.000], [0.000, 4.514, 0.000], [0.000, 0.000, 4.514]],
  "species": ["Ga", "Ga", "Ga", "C", "Nd"],
  "fractional_positions": [[0.000, 0.000, 0.500], [0.000, 0.500, 0.000], [0.500, 0.000, 0.000], [0.000, 0.000, 0.000], [0.500, 0.500, 0.500]],
  "total_magnetization_mub_per_atom": 0.001,
  "sg": "Pm-3m",
  "e_tot_ev_per_atom": -4.183,
  "crystal_system": "cubic"
}


# 15
{
  "formula": "Cs2TbYSe4",
  "functional": "PBE-GGA",
  "state": "optimized geometry",
  "lattice": [[-1.599, -1.805, -3.518], [2.888, -2.088, 2.344], [-12.267, -6.790, 9.060]],
  "species": ["Se", "Se", "Se", "Se", "Cs", "Cs", "Y", "Tb"],
  "fractional_positions": [[0.667, 0.333, 0.907], [0.333, 0.667, 0.093], [0.333, 0.667, 0.406], [0.667, 0.333, 0.594], [0.667, 0.333, 0.250], [0.333, 0.667, 0.750], [0.000, 0.000, 0.000], [0.000, 0.000, 0.500]],
  "total_magnetization_mub_per_atom": 0.000,
  "sg": "P-3m1",
  "e_tot_ev_per_atom": -5.078,
  "crystal_system": "trigonal"
}


# 16
{
  "formula": "Sr5Nb5O17",
  "functional": "PBE-GGA",
  "state": "optimized geometry",
  "lattice": [[-18.229, 22.645, 14.664], [-3.761, -0.266, -4.264], [-2.015, -2.889, 1.957]],
  "species": ["O", "O", "O", "O", "O", "O", "O", "O", "O", "O", "O", "O", "O", "O", "O", "O", "O", "O", "O", "O", "O", "O", "O", "O", "O", "O", "O", "O", "O", "O", "O", "O", "O", "O", "Sr", "Sr", "Sr", "Sr", "Sr", "Sr", "Sr", "Sr", "Sr", "Sr", "Nb", "Nb", "Nb", "Nb", "Nb", "Nb", "Nb", "Nb", "Nb", "Nb"],
  "fractional_positions": [[0.049, 0.781, 0.000], [0.916, 0.509, 0.500], [0.500, 0.500, 0.000], [0.210, 0.301, 0.000], [0.584, 0.009, 0.000], [0.222, 0.816, 0.000], [0.120, 0.200, 0.000], [0.880, 0.800, 0.000], [0.790, 0.699, 0.000], [0.634, 0.781, 0.500], [0.722, 0.684, 0.500], [0.536, 0.214, 0.500], [0.290, 0.801, 0.500], [0.036, 0.286, 0.000], [0.134, 0.719, 0.000], [0.170, 0.001, 0.500], [0.964, 0.714, 0.000], [0.866, 0.281, 0.000], [0.380, 0.700, 0.500], [0.710, 0.199, 0.500], [0.549, 0.719, 0.500], [0.620, 0.300, 0.500], [0.416, 0.991, 0.000], [0.084, 0.491, 0.500], [0.278, 0.316, 0.500], [0.330, 0.501, 0.000], [0.451, 0.281, 0.500], [0.000, 0.000, 0.500], [0.830, 0.999, 0.500], [0.670, 0.499, 0.000], [0.464, 0.786, 0.500], [0.366, 0.219, 0.500], [0.951, 0.219, 0.000], [0.778, 0.184, 0.000], [0.410, 0.495, 0.000], [0.785, 0.433, 0.500], [0.090, 0.995, 0.500], [0.285, 0.067, 0.000], [0.500, 0.000, 0.000], [0.910, 0.005, 0.500], [0.590, 0.505, 0.000], [0.715, 0.933, 0.000], [0.215, 0.567, 0.500], [0.000, 0.500, 0.500], [0.322, 0.533, 0.500], [0.909, 0.496, 0.000], [0.091, 0.504, 0.000], [0.678, 0.467, 0.500], [0.000, 0.000, 0.000], [0.500, 0.500, 0.500], [0.591, 0.996, 0.500], [0.409, 0.004, 0.500], [0.178, 0.033, 0.000], [0.822, 0.967, 0.000]],
  "total_magnetization_mub_per_atom": 0.000,
  "sg": "Pnnm",
  "e_tot_ev_per_atom": -8.141,
  "crystal_system": "orthorhombic"
}


# 17
{
  "formula": "ScNb2Ge",
  "functional": "PBE-GGA",
  "state": "optimized geometry",
  "lattice": [[-0.595, -1.759, 4.279], [-4.260, -1.243, 1.440], [-1.055, -4.512, 0.541]],
  "species": ["Nb", "Nb", "Sc", "Ge"],
  "fractional_positions": [[0.750, 0.750, 0.750], [0.000, 0.000, 0.000], [0.250, 0.250, 0.250], [0.500, 0.500, 0.500]],
  "total_magnetization_mub_per_atom": 0.002,
  "sg": "F-43m",
  "e_tot_ev_per_atom": -7.986,
  "crystal_system": "cubic"
}


# 18
{
  "formula": "Nd2CuSe3",
  "functional": "PBE-GGA",
  "state": "optimized geometry",
  "lattice": [[2.007, -6.714, 0.000], [2.007, 6.714, 0.000], [0.000, 0.000, 10.943]],
  "species": ["Se", "Se", "Se", "Se", "Se", "Se", "Cu", "Cu", "Nd", "Nd", "Nd", "Nd"],
  "fractional_positions": [[0.649, 0.351, 0.921], [0.351, 0.649, 0.421], [0.912, 0.088, 0.750], [0.649, 0.351, 0.579], [0.088, 0.912, 0.250], [0.351, 0.649, 0.079], [0.472, 0.528, 0.250], [0.528, 0.472, 0.750], [0.000, 0.000, 0.000], [0.000, 0.000, 0.500], [0.236, 0.764, 0.750], [0.764, 0.236, 0.250]],
  "total_magnetization_mub_per_atom": 0.000,
  "sg": "Cmcm",
  "e_tot_ev_per_atom": -5.370,
  "crystal_system": "orthorhombic"
}


# 19
{
  "formula": "Li2MgZnSn2Pt2",
  "functional": "PBE-GGA",
  "state": "optimized geometry",
  "lattice": [[-3.481, -2.151, 1.964], [2.789, -1.580, 3.213], [-1.189, 5.198, 3.588]],
  "species": ["Zn", "Li", "Li", "Mg", "Pt", "Pt", "Sn", "Sn"],
  "fractional_positions": [[0.500, 0.500, 0.000], [0.000, 0.500, 0.238], [0.500, 0.000, 0.762], [0.000, 0.000, 0.500], [0.000, 0.500, 0.757], [0.500, 0.000, 0.243], [0.500, 0.500, 0.500], [0.000, 0.000, 0.000]],
  "total_magnetization_mub_per_atom": 0.000,
  "sg": "P-4m2",
  "e_tot_ev_per_atom": -3.937,
  "crystal_system": "tetragonal"
}


# 20
{
  "formula": "SrAsPdAu",
  "functional": "PBE-GGA",
  "state": "optimized geometry",
  "lattice": [[0.000, 3.494, 3.494], [3.494, 0.000, 3.494], [3.494, 3.494, 0.000]],
  "species": ["As", "Au", "Sr", "Pd"],
  "fractional_positions": [[0.500, 0.500, 0.500], [0.750, 0.750, 0.750], [0.000, 0.000, 0.000], [0.250, 0.250, 0.250]],
  "sg": "F-43m",
  "e_tot_ev_per_atom": -4.053,
  "crystal_system": "cubic"
}